# SiBr2O

SiBr2O after structural relaxation (PBE, the Alexandria database).

Density in Mg/m³: 4.3
Distance to the lowest polymorph of the same formula in meV per atom: 223.5
Uncorrected formation energy in eV per atom: 0.654
Calculated volume in A^3/atom: 19.5

Unit cell a=6.778 b=6.778 c=6.778 alpha=90.00 beta=90.00 gamma=90.00
Space group Fm-3m (No. 225)
Asymmetric unit:
Si 0.000 0.000 0.000
Br 0.250 0.250 0.250
O 0.000 0.000 0.500